Material: CrSnO2
Method: DFT, GGA+U
State: relaxed

Lattice parameters (Å, degrees): 4.996 4.996 6.379 66.95 66.95 90.00
Site moments in Bohr magnetons follow the coordinates.
Fractional coordinates of all 8 atoms:
1 Sn 0.750 0.250 0.500  0.07
2 Sn 0.000 0.000 0.000  0.07
3 O 0.375 0.440 0.750  -0.06
4 O 0.190 0.625 0.250  -0.05
5 O 0.875 0.810 0.750  -0.05
6 O 0.560 0.125 0.250  -0.06
7 Cr 0.250 0.750 0.500  3.67
8 Cr 0.500 0.500 0.000  3.66

Computed properties:
* distance to the lowest polymorph of the same formula: 536 meV/atom
* density of states at the Fermi level: 0.437 states/eV per atom